First-principles (PBE-GGA) data for a geometry-optimized BaGePd2 structure, as listed in the Alexandria database.

Output
formation energy: -638 meV per atom
calculated volume: 289.2 Å³/cell
M_tot: 0.000 μB per atom

Unit cell a=4.4263 b=4.4263 c=17.0472 alpha=90.00 beta=90.00 gamma=120.00
Closest atoms and distances in Å follow each position.
Space group R-3m (No. 166, hexagonal axes)
Inequivalent atoms, fractional coordinates:
Ba1 0.0000 0.0000 0.0000 (multiplicity 3)  8 Pd 3.36-3.45
Ge1 0.0000 0.0000 0.5000 (multiplicity 3)  6 Pd 2.61
Pd1 0.0000 0.0000 0.1973 (multiplicity 6)  3 Ge 2.61, 3 Pd 2.76

First-principles (PBE-GGA) data for a geometry-optimized BaGe2Pd4 structure, as listed in the Alexandria database.

Output
formation energy: -537 meV per atom
calculated volume: 283.4 Å³/cell
energy above the most stable polymorph in this dataset: 0.083 eV/atom
M_tot: 0.000 μB per atom

Unit cell a=4.4657 b=14.2704 c=4.4479 alpha=90.00 beta=90.00 gamma=90.00
Closest atoms and distances in Å follow each position.
Space group Cmmm (No. 65)
Inequivalent atoms, fractional coordinates:
Ba1 0.0000 0.0000 0.0000 (multiplicity 2)  8 Pd 3.47-3.48, 8 Ge 3.53
Ge1 0.0000 0.3891 0.5000 (multiplicity 4)  4 Pd 2.48
Pd1 0.0000 0.1866 0.5000 (multiplicity 4)  2 Ge 2.48
Pd2 0.0000 0.3126 0.0000 (multiplicity 4)  2 Ge 2.48

First-principles (PBE-GGA) data for a geometry-optimized BaGe3Pd3 structure, as listed in the Alexandria database.

Output
formation energy: -454 meV per atom
calculated volume: 333.5 Å³/cell
energy above the most stable polymorph in this dataset: 0.000 eV/atom
M_tot: 0.000 μB per atom

Unit cell a=6.9350 b=6.9350 c=6.9350 alpha=90.00 beta=90.00 gamma=90.00
Closest atoms and distances in Å follow each position.
Space group Pm-3n (No. 223)
Inequivalent atoms, fractional coordinates:
Ba1 0.0000 0.0000 0.0000 (multiplicity 2)  12 Ge 3.88, 12 Pd 3.88
Ge1 0.0000 0.2500 0.5000 (multiplicity 6)  4 Pd 2.45
Pd1 0.0000 0.5000 0.2500 (multiplicity 6)  4 Ge 2.45